Record 1
# Ta2CdNiPt

Ta2CdNiPt at its PBEsol-relaxed geometry (meta-GGA SCAN, Alexandria).

Cell lengths 4.862, 4.862, 4.720 Å; angles 90.00, 90.00, 90.00 degrees
Atoms (fractional coordinates):
Ta 0.000 0.500 0.000
Ta 0.500 0.000 0.000
Cd 0.000 0.000 0.000
Ni 0.500 0.500 0.500
Pt 0.000 0.000 0.500

***

Record 2
# ZrCdNiPt2

ZrCdNiPt2 at its PBEsol-relaxed geometry (meta-GGA SCAN, Alexandria).

Cell lengths 4.594, 4.594, 4.461 Å; angles 90.00, 90.00, 90.00 degrees
Atoms (fractional coordinates):
Zr 0.000 0.000 0.000
Cd 0.500 0.500 0.000
Ni 0.500 0.500 0.500
Pt 0.000 0.500 0.500
Pt 0.500 0.000 0.500

***

Record 3
# CdRe2Ni

CdRe2Ni at its PBEsol-relaxed geometry (meta-GGA SCAN, Alexandria).

Cell lengths 2.649, 2.649, 8.263 Å; angles 90.00, 90.00, 90.00 degrees
Atoms (fractional coordinates):
Cd 0.000 0.000 0.000
Re 0.500 0.500 0.281
Re 0.500 0.500 0.719
Ni 0.000 0.000 0.500

***

Record 4
# Cd2ReNi

Cd2ReNi at its PBEsol-relaxed geometry (meta-GGA SCAN, Alexandria).

Cell lengths 2.725, 2.725, 8.360 Å; angles 90.00, 90.00, 90.00 degrees
Atoms (fractional coordinates):
Cd 0.000 0.000 0.228
Cd 0.000 0.000 0.772
Re 0.500 0.500 0.500
Ni 0.500 0.500 0.000

***

Number 1: total energy -1.752 hartree per atom. Number 2: total energy -1.588 hartree per atom. Number 3: total energy -1.718 hartree per atom. Number 4: total energy -1.343 hartree per atom.